No. 1
Computed, not measured: a geometry-optimized SmCu6Au12 structure at the GGA-PBE level of DFT.

calculated formation energy: -0.0503 eV per atom
final energy: -3.6622 eV/atom

Lattice parameters (Å, degrees): 7.3964 7.3964 7.3964 105.78 105.78 105.78
Closest atoms and distances in Å follow each position.
Sites, in units of the cell vectors:
Sm 0.0000 0.0000 0.0000  6 Au 3.04
Cu 0.2901 0.2901 0.6889  8 Au 2.63-2.94
Cu 0.2901 0.6889 0.2901  8 Au 2.63-2.94
Cu 0.3111 0.7099 0.7099  8 Au 2.63-2.94
Cu 0.6889 0.2901 0.2901  8 Au 2.63-2.94
Cu 0.7099 0.3111 0.7099  8 Au 2.63-2.94
Cu 0.7099 0.7099 0.3111  8 Au 2.63-2.94
Au 0.1184 0.5000 0.8816  4 Cu 2.63-2.71, 3 Au 2.76-2.79
Au 0.1184 0.8816 0.5000  4 Cu 2.63-2.71, 3 Au 2.76-2.79
Au 0.1215 0.3737 0.3737  4 Cu 2.64-2.94, 2 Au 2.76
Au 0.3737 0.1215 0.3737  4 Cu 2.64-2.94, 2 Au 2.76
Au 0.3737 0.3737 0.1215  4 Cu 2.64-2.94, 2 Au 2.76
Au 0.5000 0.1184 0.8816  4 Cu 2.63-2.71, 3 Au 2.76-2.79
Au 0.5000 0.8816 0.1184  4 Cu 2.63-2.71, 3 Au 2.76-2.79
Au 0.6263 0.6263 0.8785  4 Cu 2.64-2.94, 2 Au 2.76
Au 0.6263 0.8785 0.6263  4 Cu 2.64-2.94, 2 Au 2.76
Au 0.8785 0.6263 0.6263  4 Cu 2.64-2.94, 2 Au 2.76
Au 0.8816 0.1184 0.5000  4 Cu 2.63-2.71, 3 Au 2.76-2.79
Au 0.8816 0.5000 0.1184  4 Cu 2.63-2.71, 3 Au 2.76-2.79



No. 2
Computed, not measured: a geometry-optimized AcTbBiI structure at the GGA-PBE level of DFT.

formation energy without anion corrections: -3.2 eV per formula unit
final energy: -4.3395 eV/atom

Lattice parameters (Å, degrees): 5.6691 5.6691 5.6691 60.00 60.00 60.00
Closest atoms and distances in Å follow each position.
Sites, in units of the cell vectors:
Ac 0.0000 0.0000 0.0000  4 I 3.47, 4 Bi 3.47
Tb 0.5000 0.5000 0.5000  4 I 3.47, 4 Bi 3.47
Bi 0.2500 0.2500 0.2500  4 Tb 3.47, 4 Ac 3.47
I 0.7500 0.7500 0.7500  4 Ac 3.47, 4 Tb 3.47



No. 3
Computed, not measured: a geometry-optimized AcLaEr2Sb4 structure at the GGA-PBE level of DFT.

formation energy without anion corrections: -9.2 eV per formula unit
final energy: -5.4830 eV/atom

Lattice parameters (Å, degrees): 7.8398 4.5431 7.8666 90.00 109.54 90.00
Closest atoms and distances in Å follow each position.
Sites, in units of the cell vectors:
Ac 0.0000 0.0000 0.0000  6 Sb 3.32
La 0.0000 0.5000 0.5000  6 Sb 3.28
Er 0.5000 0.0000 0.5000  6 Sb 3.10
Er 0.5000 0.5000 0.0000  6 Sb 3.14
Sb 0.2689 0.0000 0.7520  3 Er 3.10-3.14, 2 La 3.28, 1 Ac 3.32
Sb 0.2724 0.5000 0.2619  3 Er 3.10-3.14, 1 La 3.28, 2 Ac 3.32
Sb 0.7276 0.5000 0.7381  3 Er 3.10-3.14, 1 La 3.28, 2 Ac 3.32
Sb 0.7311 0.0000 0.2480  3 Er 3.10-3.14, 2 La 3.28, 1 Ac 3.32



No. 4
Computed, not measured: a geometry-optimized CoSbPd3 structure at the GGA-PBE level of DFT.

formation energy without anion corrections: 2.7 eV per formula unit
final energy: -4.8174 eV/atom
excess energy over the best structure of this formula in the dataset: 0 meV/atom

Lattice parameters (Å, degrees): 4.6053 4.6053 4.6053 90.00 90.00 90.00
Closest atoms and distances in Å follow each position.
Sites, in units of the cell vectors:
Co 0.0000 0.0000 0.0000  6 Pd 2.30
Sb 0.5000 0.5000 0.5000  12 Pd 3.26
Pd 0.0000 0.0000 0.5000  2 Co 2.30
Pd 0.0000 0.5000 0.0000  2 Co 2.30
Pd 0.5000 0.0000 0.0000  2 Co 2.30



No. 5
Computed, not measured: a geometry-optimized Pr2AlNi2Pt5 structure at the GGA-PBE level of DFT.

calculated formation energy: -0.7939 eV per atom
final energy: -6.3007 eV/atom

Lattice parameters (Å, degrees): 9.4159 9.4159 3.9494 90.00 90.00 90.00
Closest atoms and distances in Å follow each position.
Sites, in units of the cell vectors:
Pr 0.1755 0.3245 0.0000  3 Ni 2.68-2.85
Pr 0.3245 0.8245 0.0000  3 Ni 2.68-2.85
Pr 0.6755 0.1755 0.0000  3 Ni 2.68-2.85
Pr 0.8245 0.6755 0.0000  3 Ni 2.68-2.85
Al 0.0000 0.0000 0.0000  8 Pt 2.83
Al 0.5000 0.5000 0.0000  8 Pt 2.83
Ni 0.1230 0.6230 0.0000  6 Pt 2.57-2.61, 3 Pr 2.68-2.85
Ni 0.3770 0.1230 0.0000  6 Pt 2.57-2.61, 3 Pr 2.68-2.85
Ni 0.6230 0.8770 0.0000  6 Pt 2.57-2.61, 3 Pr 2.68-2.85
Ni 0.8770 0.3770 0.0000  6 Pt 2.57-2.61, 3 Pr 2.68-2.85
Pt 0.0000 0.5000 0.5000  4 Ni 2.57, 4 Pt 2.85
Pt 0.0654 0.7953 0.5000  2 Ni 2.61, 2 Al 2.83, 3 Pt 2.85-2.86
Pt 0.2047 0.0654 0.5000  2 Ni 2.61, 2 Al 2.83, 3 Pt 2.85-2.86
Pt 0.2953 0.5654 0.5000  2 Ni 2.61, 2 Al 2.83, 3 Pt 2.85-2.86
Pt 0.4346 0.2953 0.5000  2 Ni 2.61, 2 Al 2.83, 3 Pt 2.85-2.86
Pt 0.5000 0.0000 0.5000  4 Ni 2.57, 4 Pt 2.85
Pt 0.5654 0.7047 0.5000  2 Ni 2.61, 2 Al 2.83, 3 Pt 2.85-2.86
Pt 0.7047 0.4346 0.5000  2 Ni 2.61, 2 Al 2.83, 3 Pt 2.85-2.86
Pt 0.7953 0.9346 0.5000  2 Ni 2.61, 2 Al 2.83, 3 Pt 2.85-2.86
Pt 0.9346 0.2047 0.5000  2 Ni 2.61, 2 Al 2.83, 3 Pt 2.85-2.86



No. 6
Computed, not measured: a geometry-optimized KMn2Re structure at the GGA-PBE level of DFT.

calculated formation energy: 1.6326 eV per atom
final energy: -6.3386 eV/atom
excess energy over the best structure of this formula in the dataset: 963 meV/atom

Lattice parameters (Å, degrees): 4.3967 4.3967 4.3967 60.00 60.00 60.00
Closest atoms and distances in Å follow each position.
Sites, in units of the cell vectors:
K 0.0000 0.0000 0.0000  8 Mn 2.69
Mn 0.2500 0.2500 0.2500  4 Re 2.69, 4 K 2.69
Mn 0.7500 0.7500 0.7500  4 Re 2.69, 4 K 2.69
Re 0.5000 0.5000 0.5000  8 Mn 2.69



No. 7
Computed, not measured: a geometry-optimized Ce4Ga6Ru7 structure at the GGA-PBE level of DFT.

calculated formation energy: -0.5129 eV per atom
final energy: -6.7969 eV/atom

Lattice parameters (Å, degrees): 7.3029 7.3029 7.3029 109.47 109.47 109.47
Closest atoms and distances in Å follow each position.
Sites, in units of the cell vectors:
Ce 0.0000 0.0000 0.5000  6 Ru 2.98, 6 Ga 3.03
Ce 0.0000 0.5000 0.0000  6 Ru 2.98, 6 Ga 3.03
Ce 0.5000 0.0000 0.0000  6 Ru 2.98, 6 Ga 3.03
Ce 0.5000 0.5000 0.5000  6 Ru 2.98, 6 Ga 3.03
Ga 0.0000 0.3107 0.3107  5 Ru 2.62-2.64
Ga 0.0000 0.6893 0.6893  5 Ru 2.62-2.64
Ga 0.3107 0.0000 0.3107  5 Ru 2.62-2.64
Ga 0.3107 0.3107 0.0000  5 Ru 2.62-2.64
Ga 0.6893 0.0000 0.6893  5 Ru 2.62-2.64
Ga 0.6893 0.6893 0.0000  5 Ru 2.62-2.64
Ru 0.0000 0.0000 0.0000  6 Ga 2.62
Ru 0.2500 0.5000 0.7500  4 Ga 2.64
Ru 0.2500 0.7500 0.5000  4 Ga 2.64
Ru 0.5000 0.2500 0.7500  4 Ga 2.64
Ru 0.5000 0.7500 0.2500  4 Ga 2.64
Ru 0.7500 0.2500 0.5000  4 Ga 2.64
Ru 0.7500 0.5000 0.2500  4 Ga 2.64



No. 8
Computed, not measured: a geometry-optimized Li2AlPb structure at the GGA-PBE level of DFT.

calculated formation energy: 0.0958 eV per atom
final energy: -2.7238 eV/atom

Lattice parameters (Å, degrees): 6.1909 6.1909 6.1909 103.06 103.06 123.23
Closest atoms and distances in Å follow each position.
Sites, in units of the cell vectors:
Li 0.1112 0.6250 0.9862  2 Al 2.75, 2 Pb 2.89, 2 Li 2.95
Li 0.3750 0.3612 0.4862  2 Al 2.75, 2 Pb 2.89, 2 Li 2.95
Li 0.6388 0.1250 0.0138  2 Al 2.75, 2 Pb 2.89, 2 Li 2.95
Li 0.8750 0.8888 0.5138  2 Al 2.75, 2 Pb 2.89, 2 Li 2.95
Al 0.0000 0.0000 0.0000  4 Li 2.75, 2 Pb 2.94
Al 0.7500 0.2500 0.5000  4 Li 2.75, 2 Pb 2.94
Pb 0.2500 0.7500 0.5000  4 Li 2.89, 2 Al 2.94
Pb 0.5000 0.5000 0.0000  4 Li 2.89, 2 Al 2.94